1.
{"formula": "AgI", "functional": "PBE", "state": "optimized geometry", "sg": "P1, No. 1", "rho_g_cm3": 5.5, "dft_energy_ev_per_atom": -2.43, "crystal_system": "triclinic", "n_ef_per_ev_cell": 0.00, "cell": [[-1.6593, 1.7789, 3.9433], [-6.8787, -0.6148, -3.1502], [-0.4095, -7.5328, 2.8805]], "species": ["I", "I", "I", "I", "Ag", "Ag", "Ag", "Ag"], "fractional_positions": [[0.2092, 0.1987, 0.6456], [0.5811, 0.7090, 0.4495], [0.6149, 0.1766, 0.1555], [0.0735, 0.6789, 0.9489], [0.0854, 0.0596, 0.9720], [0.7270, 0.3338, 0.8240], [0.0663, 0.5579, 0.5853], [0.5675, 0.5508, 0.1279]]}

2.
{"formula": "LiDy2HoTl4", "functional": "PBE", "state": "optimized geometry", "sg": "R-3m, No. 166", "formation_energy_ev_per_fu": -2.6, "rho_g_cm3": 10.5, "crystal_system": "trigonal", "n_ef_per_ev_cell": 4.46, "cell": [[5.2264, 0.0000, 0.0000], [2.6132, 4.5262, 0.0000], [2.6132, 1.5087, 8.8067]], "species": ["Tl", "Tl", "Tl", "Tl", "Ho", "Dy", "Dy", "Li"], "fractional_positions": [[0.3768, 0.3768, 0.8696], [0.1272, 0.1272, 0.6185], [0.8728, 0.8728, 0.3815], [0.6232, 0.6232, 0.1304], [0.0000, 0.0000, 0.0000], [0.2456, 0.2456, 0.2633], [0.7544, 0.7544, 0.7367], [0.5000, 0.5000, 0.5000]]}

3.
{"formula": "LiCuHgGe", "functional": "PBE", "state": "optimized geometry", "sg": "F-43m, No. 216", "formation_energy_ev_per_fu": -0.2, "rho_g_cm3": 8.7, "crystal_system": "cubic", "n_ef_per_ev_cell": 1.45, "cell": [[4.5200, 0.0000, 0.0000], [2.2600, 3.9144, 0.0000], [2.2600, 1.3048, 3.6905]], "species": ["Ge", "Li", "Cu", "Hg"], "fractional_positions": [[0.2500, 0.2500, 0.2500], [0.0000, 0.0000, 0.0000], [0.5000, 0.5000, 0.5000], [0.7500, 0.7500, 0.7500]]}

4.
{"formula": "Dy4Si2Hg5", "functional": "PBE", "state": "optimized geometry", "sg": "P2/m, No. 10", "rho_g_cm3": 10.8, "dft_energy_ev_per_atom": -3.27, "crystal_system": "monoclinic", "n_ef_per_ev_cell": 5.92, "cell": [[-0.7217, -2.1839, 3.0450], [7.1617, 1.0736, 2.4675], [-3.4211, 7.1895, 4.3455]], "species": ["Si", "Si", "Hg", "Hg", "Hg", "Hg", "Hg", "Dy", "Dy", "Dy", "Dy"], "fractional_positions": [[0.0000, 0.0660, 0.6214], [0.0000, 0.9340, 0.3786], [0.0000, 0.5468, 0.3307], [0.0000, 0.8484, 0.8655], [0.0000, 0.5000, 0.0000], [0.0000, 0.4532, 0.6693], [0.0000, 0.1516, 0.1345], [0.5000, 0.1883, 0.8522], [0.5000, 0.2350, 0.4257], [0.5000, 0.7650, 0.5743], [0.5000, 0.8117, 0.1478]]}